# PBE with a Hubbard U TcMoP2O, relaxed
data_TcMoP2O
_cell_length_a 4.875
_cell_length_b 4.875
_cell_length_c 3.736
_cell_angle_alpha 90.00
_cell_angle_beta 90.00
_cell_angle_gamma 90.00
_symmetry_space_group_name_H-M 'P 4/m m m'
_symmetry_Int_Tables_number 123
_symmetry_space_group_name_Hall '-P 4 2'
loop_
_atom_site_label
_atom_site_fract_x
_atom_site_fract_y
_atom_site_fract_z
_atom_site_occupancy
Tc1 0.000 0.000 0.000 1
Mo1 0.500 0.500 0.500 1
P1 0.000 0.500 0.500 1
O1 0.500 0.500 0.000 1
# Final energy   -6.16 eV/atom
# Relative energy among the computed polymorphs   0.359 eV/atom
# Total magnetic moment   4.45 μB/f.u.